GaCoPb2O6, relaxed, DFT PBE with a Hubbard U; theoretical density = 8.84 g/cm³; Fermi-level density of states = 0.314 states/eV per atom; uncorrected energy = -55.6 eV/f.u.
1.0
-1.689 2.527 -4.534
-4.117 -2.086 -2.915
-4.967 2.624 0.026
Ga Co Pb O
1 1 2 6
Direct
0.310 0.310 0.070
0.817 0.817 0.548
0.529 0.529 0.412
0.054 0.054 0.838
0.583 0.171 0.284
0.171 0.963 0.284
0.963 0.583 0.284
0.516 0.634 0.765
0.634 0.084 0.765
0.084 0.516 0.765